! Al2CoP, relaxed, DFT PBE; values from VASP
&SYSTEM
  ibrav = 0, nat = 4, ntyp = 3
/
ATOMIC_SPECIES
Al 26.98 Al.upf
Co 58.93 Co.upf
P 30.97 P.upf
CELL_PARAMETERS angstrom
3.305 0.000 0.000
0.000 3.305 0.000
0.000 0.000 5.026
ATOMIC_POSITIONS crystal
Al 0.000 0.000 0.000
Al 0.500 0.500 0.311
Co 0.000 0.000 0.488
P 0.500 0.500 0.795
! ρ = 4.35 g/cm³
! energy of formation from the pure elements = -0.11 eV/atom
! calculated total energy = -5.11 eV per atom

***

! Al2CoP, relaxed, DFT PBE; values from VASP
&SYSTEM
  ibrav = 0, nat = 4, ntyp = 3
/
ATOMIC_SPECIES
Al 26.98 Al.upf
Co 58.93 Co.upf
P 30.97 P.upf
CELL_PARAMETERS angstrom
0.000 3.009 3.009
3.009 0.000 3.009
3.009 3.009 0.000
ATOMIC_POSITIONS crystal
Al 0.000 0.000 0.000
Al 0.250 0.250 0.250
Co 0.500 0.500 0.500
P 0.750 0.750 0.750
! ρ = 4.38 g/cm³
! energy of formation from the pure elements = 0.10 eV/atom
! calculated total energy = -4.90 eV per atom

***

! Al3CoP, relaxed, DFT PBE; values from VASP
&SYSTEM
  ibrav = 0, nat = 5, ntyp = 3
/
ATOMIC_SPECIES
Al 26.98 Al.upf
Co 58.93 Co.upf
P 30.97 P.upf
CELL_PARAMETERS angstrom
4.609 0.000 0.000
0.000 4.609 0.000
0.000 0.000 4.609
ATOMIC_POSITIONS crystal
Al 0.000 0.000 0.500
Al 0.000 0.500 0.000
Al 0.500 0.000 0.000
Co 0.500 0.500 0.500
P 0.000 0.000 0.000
! ΔE to the lowest computed polymorph = 601 meV per atom
! ρ = 2.90 g/cm³
! energy of formation from the pure elements = 0.80 eV/atom
! calculated total energy = -3.95 eV per atom

***

! AlCoP2, relaxed, DFT PBE; values from VASP
&SYSTEM
  ibrav = 0, nat = 8, ntyp = 3
/
ATOMIC_SPECIES
Al 26.98 Al.upf
Co 58.93 Co.upf
P 30.97 P.upf
CELL_PARAMETERS angstrom
-2.639 2.639 5.172
2.639 -2.639 5.172
2.639 2.639 -5.172
ATOMIC_POSITIONS crystal
Al 0.000 0.000 0.000
Al 0.750 0.250 0.500
Co 0.250 0.750 0.500
Co 0.500 0.500 0.000
P 0.165 0.625 0.040
P 0.375 0.415 0.540
P 0.585 0.125 0.960
P 0.875 0.835 0.460
! ρ = 3.41 g/cm³
! energy of formation from the pure elements = -0.22 eV/atom
! calculated total energy = -5.64 eV per atom

***

! AlCoP2, relaxed, DFT PBE; values from VASP
&SYSTEM
  ibrav = 0, nat = 4, ntyp = 3
/
ATOMIC_SPECIES
Al 26.98 Al.upf
Co 58.93 Co.upf
P 30.97 P.upf
CELL_PARAMETERS angstrom
-1.853 1.853 3.718
1.853 -1.853 3.718
1.853 1.853 -3.718
ATOMIC_POSITIONS crystal
Al 0.000 0.000 0.000
Co 0.250 0.750 0.500
P 0.500 0.500 0.000
P 0.750 0.250 0.500
! ρ = 4.81 g/cm³
! energy of formation from the pure elements = 0.16 eV/atom
! calculated total energy = -5.26 eV per atom

***

! AlCoP2, relaxed, DFT PBE; values from VASP
&SYSTEM
  ibrav = 0, nat = 4, ntyp = 3
/
ATOMIC_SPECIES
Al 26.98 Al.upf
Co 58.93 Co.upf
P 30.97 P.upf
CELL_PARAMETERS angstrom
1.452 0.838 7.612
-1.452 0.838 7.612
0.000 -1.677 7.612
ATOMIC_POSITIONS crystal
Al 0.000 0.000 0.000
Co 0.751 0.751 0.751
P 0.248 0.248 0.248
P 0.479 0.479 0.479
! ρ = 4.42 g/cm³
! energy of formation from the pure elements = 0.01 eV/atom
! calculated total energy = -5.41 eV per atom

***

The highest ρ belongs to which entry? number 5

***

Please write out number 2 again, unchanged.
! Al2CoP, relaxed, DFT PBE; values from VASP
&SYSTEM
  ibrav = 0, nat = 4, ntyp = 3
/
ATOMIC_SPECIES
Al 26.98 Al.upf
Co 58.93 Co.upf
P 30.97 P.upf
CELL_PARAMETERS angstrom
0.000 3.009 3.009
3.009 0.000 3.009
3.009 3.009 0.000
ATOMIC_POSITIONS crystal
Al 0.000 0.000 0.000
Al 0.250 0.250 0.250
Co 0.500 0.500 0.500
P 0.750 0.750 0.750
! ρ = 4.38 g/cm³
! energy of formation from the pure elements = 0.10 eV/atom
! calculated total energy = -4.90 eV per atom

***

The lowest calculated total energy belongs to which entry? number 4

***

Which formula does entry 2 have? Al2CoP